Computed, not measured: a crystal of Be2FeRh relaxed with PBEsol at the meta-GGA SCAN level of DFT.

Calculated values
space-group type	No. 123
formation energy from the elements	-0.46	eV/atom

POSCAR file:
```
Be2FeRh
1.0
2.6985 0.0000 0.0000
0.0000 3.8012 0.0000
0.0000 0.0000 3.8012
Be Rh Fe
2 1 1
direct
0.0000 0.0000 0.5000 Be
0.0000 0.5000 0.0000 Be
0.5000 0.0000 0.0000 Rh
0.5000 0.5000 0.5000 Fe
```